<one>
VASP calculation (GGA-PBE) on crystalline CoNi2I at its relaxed geometry.

Cell: 6.0909 6.0909 6.0909 Å, 90.00 90.00 90.00°
Space group Fm-3m (No. 225)
Asymmetric unit:
Co1 0.0000 0.0000 0.0000 (multiplicity 4)
Ni1 0.2500 0.2500 0.2500 (multiplicity 8)
I1 0.0000 0.0000 0.5000 (multiplicity 4)



<two>
VASP calculation (GGA-PBE) on crystalline CoNi2I at its relaxed geometry.

Cell: 5.8918 5.8918 9.3380 Å, 90.00 90.00 90.00°
Space group I-42d (No. 122)
Asymmetric unit:
Co1 0.0000 0.0000 0.0000 (multiplicity 4)
Ni1 0.2098 0.2500 0.1250 (multiplicity 8)
I1 0.0000 0.0000 0.5000 (multiplicity 4)



Relative energies, in kJ/mol of atoms, with the most stable structure set to zero: <one> 0.0; <two> 12.9.